Computed, not measured: SrZrCl2 after structural relaxation at the PBE-GGA level of DFT.

Summary:
**Space-group type**: Cmmm, No. 65
**V**: 26.25 A^3/atom
**Energy relative to the elements, uncorrected**: -0.90 eV/atom
**Total DFT energy (no corrections)**: -4.386 eV/atom
**Calculated density**: 3.95 g cm⁻³

a b c (Å): 3.765 3.765 9.296
angles (deg): 90.00 90.00 127.17
Fractional positions:
Sr 0.500 0.500 0.250
Zr 0.500 0.500 0.750
Cl 0.000 0.000 0.976
Cl 0.000 0.000 0.524

---

Computed, not measured: RbHfHgCl6 after structural relaxation at the PBE-GGA level of DFT.

Summary:
**Space-group type**: P312, No. 149
**V**: 35.50 A^3/atom
**Energy relative to the elements, uncorrected**: -1.52 eV/atom
**Total DFT energy (no corrections)**: -3.999 eV/atom
**Calculated density**: 3.52 g cm⁻³

a b c (Å): 7.373 7.373 6.788
angles (deg): 90.00 90.00 60.00
Fractional positions:
Rb 0.000 0.000 0.000
Hf 0.333 0.333 0.500
Hg 0.667 0.667 0.500
Cl 0.055 0.345 0.289
Cl 0.345 0.055 0.711
Cl 0.600 0.345 0.711
Cl 0.055 0.600 0.711
Cl 0.345 0.600 0.289
Cl 0.600 0.055 0.289

---

Computed, not measured: Y3CrTc after structural relaxation at the PBE-GGA level of DFT.

Summary:
**Space-group type**: Pm-3m, No. 221
**V**: 28.86 A^3/atom
**Formation energy**: 950 meV per atom
**Total DFT energy (no corrections)**: -6.927 eV/atom
**Calculated density**: 4.79 g cm⁻³

a b c (Å): 5.245 5.245 5.245
angles (deg): 90.00 90.00 90.00
Fractional positions:
Y 0.000 0.500 0.000
Y 0.000 0.000 0.500
Y 0.500 0.000 0.000
Cr 0.500 0.500 0.500
Tc 0.000 0.000 0.000

---

Computed, not measured: La5Cd4I after structural relaxation at the PBE-GGA level of DFT.

Summary:
**Space-group type**: P4/mmm, No. 123
**V**: 30.77 A^3/atom
**Energy relative to the elements, uncorrected**: -0.44 eV/atom
**Total DFT energy (no corrections)**: -3.426 eV/atom
**Calculated density**: 6.86 g cm⁻³

a b c (Å): 3.926 3.926 19.967
angles (deg): 90.00 90.00 90.00
Fractional positions:
La 0.500 0.500 0.107
La 0.500 0.500 0.303
La 0.500 0.500 0.500
La 0.500 0.500 0.697
La 0.500 0.500 0.893
Cd 0.000 0.000 0.206
Cd 0.000 0.000 0.400
Cd 0.000 0.000 0.600
Cd 0.000 0.000 0.794
I 0.000 0.000 0.000

---

Computed, not measured: Pr3Sm3Tm after structural relaxation at the PBE-GGA level of DFT.

Summary:
**Space-group type**: C2/m, No. 12
**V**: 34.45 A^3/atom
**Formation energy**: 121 meV per atom
**Total DFT energy (no corrections)**: -4.589 eV/atom
**Calculated density**: 7.18 g cm⁻³

a b c (Å): 6.373 6.373 12.587
angles (deg): 102.38 102.38 95.51
Fractional positions:
Pr 0.803 0.803 0.183
Pr 0.997 0.627 0.713
Pr 0.627 0.997 0.713
Pr 0.003 0.373 0.287
Pr 0.373 0.003 0.287
Pr 0.197 0.197 0.817
Sm 0.611 0.611 0.414
Sm 0.172 0.828 0.500
Sm 0.828 0.172 0.500
Sm 0.189 0.811 0.000
Sm 0.811 0.189 0.000
Sm 0.389 0.389 0.586
Tm 0.613 0.613 0.883
Tm 0.387 0.387 0.117

---

Computed, not measured: Lu2CoCu after structural relaxation at the PBE-GGA level of DFT.

Summary:
**Space-group type**: Fm-3m, No. 225
**V**: 18.33 A^3/atom
**Formation energy**: -270 meV per atom
**Total DFT energy (no corrections)**: -5.331 eV/atom
**Calculated density**: 10.70 g cm⁻³

a b c (Å): 4.698 4.698 4.698
angles (deg): 60.00 60.00 60.00
Fractional positions:
Lu 0.000 0.000 0.000
Lu 0.500 0.500 0.500
Co 0.750 0.750 0.750
Cu 0.250 0.250 0.250

---

Computed, not measured: Nb2Zn2Cd after structural relaxation at the PBE-GGA level of DFT.

Summary:
**Space-group type**: P4/mbm, No. 127
**V**: 18.53 A^3/atom
**Formation energy**: 261 meV per atom
**Total DFT energy (no corrections)**: -4.459 eV/atom
**Calculated density**: 7.69 g cm⁻³

a b c (Å): 7.874 7.874 2.989
angles (deg): 90.00 90.00 90.00
Fractional positions:
Nb 0.380 0.880 0.000
Nb 0.880 0.620 0.000
Nb 0.620 0.120 0.000
Nb 0.120 0.380 0.000
Zn 0.177 0.677 0.500
Zn 0.677 0.823 0.500
Zn 0.823 0.323 0.500
Zn 0.323 0.177 0.500
Cd 0.000 0.000 0.000
Cd 0.500 0.500 0.000

---

Computed, not measured: AcPmEuSb after structural relaxation at the PBE-GGA level of DFT.

Summary:
**Space-group type**: F-43m, No. 216
**V**: 32.61 A^3/atom
**Energy relative to the elements, uncorrected**: -0.24 eV/atom
**Total DFT energy (no corrections)**: -6.058 eV/atom
**Calculated density**: 8.22 g cm⁻³

a b c (Å): 5.692 5.692 5.692
angles (deg): 60.00 60.00 60.00
Fractional positions:
Eu 0.250 0.250 0.250
Sb 0.500 0.500 0.500
Ac 0.000 0.000 0.000
Pm 0.750 0.750 0.750

---

- total DFT energy (no corrections) of number 5 (Pr3Sm3Tm)?
  -4.589 eV/atom

---

Please write out number 7 again, unchanged.
Computed, not measured: Nb2Zn2Cd after structural relaxation at the PBE-GGA level of DFT.

Summary:
**Space-group type**: P4/mbm, No. 127
**V**: 18.53 A^3/atom
**Formation energy**: 261 meV per atom
**Total DFT energy (no corrections)**: -4.459 eV/atom
**Calculated density**: 7.69 g cm⁻³

a b c (Å): 7.874 7.874 2.989
angles (deg): 90.00 90.00 90.00
Fractional positions:
Nb 0.380 0.880 0.000
Nb 0.880 0.620 0.000
Nb 0.620 0.120 0.000
Nb 0.120 0.380 0.000
Zn 0.177 0.677 0.500
Zn 0.677 0.823 0.500
Zn 0.823 0.323 0.500
Zn 0.323 0.177 0.500
Cd 0.000 0.000 0.000
Cd 0.500 0.500 0.000

---

- Look up the calculated density of the sixth one.
  10.70 g cm⁻³

---

- What is the calculated density in the third record?
  4.79 g cm⁻³